VASP calculation (PBE-GGA) on an optimized crystal structure of Ti3Ni3Pt2.

N(E_F)   7.98 states/eV/f.u.
Final energy   -7.27 eV/atom
Magnetic moment   1.391 μB/cell

Unit cell a=3.757 b=3.822 c=7.727 alpha=90.00 beta=90.00 gamma=90.00
Space group Pmmm (No. 47)
Unique sites:
Ti1 0.000 0.000 0.000 (multiplicity 1)
Ti2 0.000 0.500 0.267 (multiplicity 2)
Ni1 0.000 0.000 0.500 (multiplicity 1)
Ni2 0.500 0.500 0.000 (multiplicity 1)
Ni3 0.500 0.500 0.500 (multiplicity 1)
Pt1 0.500 0.000 0.257 (multiplicity 2)